Here is crystalline Th2CdCoAg at its relaxed geometry from Alexandria. Energies are from PBE-GGA.

Lattice parameters (Å, degrees): 3.975 9.041 9.087 132.19 90.00 90.00
Element x y z (fractional)
Th1 0.750 0.707 0.561
Th2 0.750 0.842 0.039
Th3 0.250 0.293 0.439
Th4 0.250 0.158 0.961
Cd1 0.250 0.847 0.349
Cd2 0.750 0.153 0.651
Co1 0.250 0.726 0.774
Co2 0.750 0.274 0.226
Ag1 0.250 0.483 0.878
Ag2 0.750 0.517 0.122

The total energy comes out at -0.3917 Ry per atom. As for the size of the total moment: 0.00 μB/f.u. The formation energy is -0.19 eV per atom. The calculation puts the density of states at the Fermi level at 4.12 states/eV/f.u. Its space-group type is P2_1/m, No. 11.